(1)
Material: SrPmPr2
Method: DFT, GGA-PBE
State: relaxed

Computed properties:
The calculation puts the energy above the most stable polymorph in this dataset at 0.092 eV/atom. The calculation puts the density of states at the Fermi level at 6.1 states/eV per cell. The value obtained for the total moment is 0.0 μB/f.u. For the energy relative to the elements, the calculation gives 0.665 eV per formula unit.

Cell lengths 13.4037, 13.4037, 13.4037 Å; angles 15.94, 15.94, 15.94 degrees
With the nearest neighbours (Å) after each atom.
Atoms (fractional coordinates):
Sr: 0.0000 0.0000 0.0000  2 Pr 3.67, 6 Sr 3.72
Pm: 0.5000 0.5000 0.5000  6 Pr 3.65, 6 Pm 3.72
Pr: 0.0924 0.0924 0.0924  3 Pm 3.65, 1 Sr 3.67, 6 Pr 3.72
Pr: 0.9076 0.9076 0.9076  3 Pm 3.65, 1 Sr 3.67, 6 Pr 3.72

***

(2)
Material: Pr8Al2Zn
Method: DFT, GGA-PBE
State: relaxed

Computed properties:
The calculation puts the energy above the most stable polymorph in this dataset at 0.000 eV/atom. The calculation puts the density of states at the Fermi level at 11.5 states/eV per cell. The value obtained for the total moment is 0.0 μB/f.u. For the energy relative to the elements, the calculation gives -1.677 eV per formula unit.

Cell lengths 9.9115, 9.9115, 6.9812 Å; angles 104.21, 104.21, 30.80 degrees
With the nearest neighbours (Å) after each atom.
Atoms (fractional coordinates):
Pr: 0.0166 0.0166 0.2727  2 Zn 3.13, 1 Al 3.25, 1 Pr 3.39
Pr: 0.2066 0.2066 0.7988  3 Al 3.20-3.42, 3 Pr 3.46-3.57
Pr: 0.3424 0.3424 0.5298  1 Zn 3.07, 3 Al 3.20-3.21, 1 Pr 3.41
Pr: 0.4052 0.4052 0.0333  1 Zn 3.30, 3 Pr 3.41-3.53, 2 Al 3.42
Pr: 0.5948 0.5948 0.9667  1 Zn 3.30, 3 Pr 3.41-3.53, 2 Al 3.42
Pr: 0.6576 0.6576 0.4702  1 Zn 3.07, 3 Al 3.20-3.21, 1 Pr 3.41
Pr: 0.7934 0.7934 0.2012  3 Al 3.20-3.42, 3 Pr 3.46-3.57
Pr: 0.9834 0.9834 0.7273  2 Zn 3.13, 1 Al 3.25, 1 Pr 3.39
Al: 0.1829 0.1829 0.2358  9 Pr 3.20-3.42
Al: 0.8171 0.8171 0.7642  9 Pr 3.20-3.42
Zn: 0.5000 0.5000 0.5000  8 Pr 3.07-3.30